DFT (PBE) results for KMo2PSe after structural relaxation.

Cell and atoms, written as POSCAR:
```
KMo2PSe
1.0
5.613 0.000 0.000
0.000 5.613 0.000
0.000 0.000 5.113
K Mo P Se
1 2 1 1
Direct
0.000 0.000 0.000
0.000 0.500 0.000
0.500 0.000 0.000
0.000 0.000 0.500
0.500 0.500 0.500
```

Values from the calculation:
Total DFT energy (no corrections) = -3.523 eV per atom
Uncorrected formation energy = 1355 kJ/mol of formula units
Calculated volume = 161.1 Å³ per cell
N(E_F) = 0.40 states/eV per atom